# 1
Crystalline AlAs at its relaxed geometry. Source: Alexandria, functional PBE.

## Properties
As for the density of states at the Fermi level: 0.34 states/eV/atom. The calculation puts the total magnetization at 0.000 μB/f.u. The value obtained for the formation energy is 0.5 eV per formula unit. The calculation puts the electronic total energy at -3.94 eV per atom. Its space group is No. 194.

The structure in POSCAR format:
```
AlAs
1.0
0.2788 3.2794 -3.0306
-2.9952 0.2644 3.3131
6.9341 4.8462 5.8820
Al As
4 4
Cartesian
1.7335 1.2116 1.4705 Al
5.2006 3.6347 4.4115 Al
3.2968 4.9041 5.6100 Al
0.9210 3.4860 0.5544 Al
-1.0313 1.8793 1.9387 As
3.5271 5.3074 2.7651 As
5.2490 6.5108 4.2257 As
0.6907 3.0827 3.3993 As
```

# 2
Crystalline SbPd7Pt4 at its relaxed geometry. Source: Alexandria, functional PBE.

## Properties
As for the density of states at the Fermi level: 1.48 states/eV/atom. The calculation puts the total magnetization at 0.000 μB/f.u. The uncorrected formation energy is -0.029 eV/atom. The calculation puts the electronic total energy at -5.42 eV per atom. Its space group is No. 2.

The structure in POSCAR format:
```
SbPd7Pt4
1.0
5.0108 0.5750 1.2436
3.4176 7.7810 1.8757
0.2228 0.7062 5.4913
Sb Pd Pt
1 7 4
Cartesian
0.0000 0.0000 0.0000 Sb
7.3410 8.0774 5.4801 Pd
1.3102 0.9848 3.1304 Pd
2.7063 5.0715 2.8637 Pd
5.9449 3.9907 5.7469 Pd
2.9111 5.2524 5.6638 Pd
2.5054 0.2875 0.6218 Pd
5.7401 3.8098 2.9467 Pd
3.6929 2.9205 4.5079 Pt
4.9583 6.1417 4.1026 Pt
5.2450 6.4806 6.7443 Pt
3.4062 2.5816 1.8662 Pt
```

# 3
Crystalline Y12Ir3O5 at its relaxed geometry. Source: Alexandria, functional PBE.

## Properties
As for the density of states at the Fermi level: 0.58 states/eV/atom. The calculation puts the total magnetization at 0.001 μB/f.u. The uncorrected formation energy is -1.684 eV/atom. The calculation puts the electronic total energy at -8.13 eV per atom. Its space group is No. 230.

The structure in POSCAR format:
```
Y12Ir3O5
1.0
13.1466 0.0000 0.0000
-4.3822 12.3948 0.0000
-4.3822 -6.1974 10.7342
Ir O Y
12 20 48
Cartesian
7.6689 3.8734 1.3418 Ir
7.6689 8.5214 1.3418 Ir
-1.0956 5.4227 6.7089 Ir
1.0956 -0.7747 4.0253 Ir
9.8600 0.0000 2.6835 Ir
1.0956 6.1974 2.6835 Ir
3.2867 0.0000 8.0506 Ir
-5.4778 6.1974 8.0506 Ir
3.2867 6.9720 6.7089 Ir
5.4778 0.7747 4.0253 Ir
-3.2867 -2.3240 9.3924 Ir
-3.2867 2.3240 9.3924 Ir
-1.0956 3.0987 2.6835 O
-2.1911 6.1974 0.0000 O
0.0000 0.0000 0.0000 O
3.2867 2.3240 1.3418 O
4.3822 -3.0987 5.3671 O
4.3822 6.1974 0.0000 O
-3.2867 6.9720 4.0253 O
5.4778 -3.8734 9.3924 O
5.4778 5.4227 4.0253 O
1.0956 -3.0987 8.0506 O
3.2867 9.2961 2.6835 O
2.1911 3.0987 5.3671 O
6.5733 0.0000 0.0000 O
-2.1911 -3.0987 5.3671 O
-1.0956 0.7747 6.7089 O
-1.0956 10.0707 1.3418 O
-4.3822 3.0987 5.3671 O
7.6689 -0.7747 6.7089 O
1.0956 3.8734 9.3924 O
5.4778 3.0987 8.0506 O
8.6823 1.3382 0.2627 Y
0.0821 3.9953 4.3396 Y
9.8837 2.9019 3.1274 Y
5.4540 1.8412 1.2903 Y
1.6325 4.5435 7.3440 Y
9.4072 6.2425 1.9769 Y
-1.1193 7.2581 4.4177 Y
-3.2629 10.5535 1.2903 Y
0.5586 7.8513 7.3440 Y
5.9306 6.1523 1.9769 Y
6.6554 3.5402 4.0768 Y
6.6554 11.0566 0.2627 Y
-3.8236 5.5331 5.6298 Y
2.8339 4.4628 0.9494 Y
-4.4643 8.8545 4.0768 Y
2.2732 -2.2021 6.3946 Y
-0.5586 0.9897 2.2397 Y
2.8339 7.8869 1.0275 Y
5.4540 9.4929 3.1274 Y
-0.6428 4.5079 1.0275 Y
-2.7498 7.1871 8.4945 Y
3.3104 5.1367 4.4177 Y
6.0147 6.8616 5.6298 Y
5.0250 -1.7346 9.7848 Y
1.0718 1.0607 6.3165 Y
-1.6325 -0.6642 5.1043 Y
-0.6428 7.9320 0.9494 Y
-1.0718 -3.2955 7.6067 Y
7.1320 -0.9897 2.2397 Y
5.0250 1.6895 9.7066 Y
1.5484 -1.6895 9.7066 Y
2.1090 8.3994 4.3396 Y
4.9409 5.2077 8.4945 Y
8.8465 -2.6571 6.6574 Y
8.2058 0.6642 5.1043 Y
-2.2732 -4.8592 10.4714 Y
1.5484 1.7346 9.7848 Y
3.8236 -1.6539 3.3902 Y
-1.5484 0.0451 8.7572 Y
-2.2732 2.6571 6.6574 Y
7.6451 -4.3562 9.4439 Y
5.5015 -1.0607 6.3165 Y
-1.0718 4.3562 9.4439 Y
-5.0250 -0.0451 8.7572 Y
2.7498 1.6539 3.3902 Y
-5.5015 3.2955 7.6067 Y
4.3001 2.2021 6.3946 Y
-4.3001 4.8592 10.4714 Y
```

# 4
Crystalline TiTlTe2N at its relaxed geometry. Source: Alexandria, functional PBE.

## Properties
As for the density of states at the Fermi level: 1.39 states/eV/atom. The calculation puts the total magnetization at 3.480 μB/f.u. The uncorrected formation energy is 1.204 eV/atom. The calculation puts the electronic total energy at -3.77 eV per atom. Its space group is No. 123. Its energy above the most stable polymorph in this dataset is 1367 meV/atom.

The structure in POSCAR format:
```
TiTlTe2N
1.0
5.8448 0.0000 0.0000
0.0000 5.8448 0.0000
0.0000 0.0000 4.1808
N Tl Te Ti
1 1 2 1
Cartesian
0.0000 0.0000 2.0904 N
0.0000 0.0000 0.0000 Tl
0.0000 2.9224 0.0000 Te
2.9224 0.0000 0.0000 Te
2.9224 2.9224 2.0904 Ti
```

# 5
Crystalline Li5Ca2Zn5 at its relaxed geometry. Source: Alexandria, functional PBE.

## Properties
As for the density of states at the Fermi level: 0.54 states/eV/atom. The calculation puts the total magnetization at 0.000 μB/f.u. The value obtained for the formation energy is -1.8 eV per formula unit. The calculation puts the electronic total energy at -1.81 eV per atom. Its space group is No. 47. Its energy above the most stable polymorph in this dataset is 24 meV/atom.

The structure in POSCAR format:
```
Li5Ca2Zn5
1.0
4.3771 0.0000 0.0000
0.0000 5.3884 0.0000
0.0000 0.0000 9.7496
Li Ca Zn
5 2 5
Cartesian
0.0000 2.6942 3.2285 Li
0.0000 0.0000 8.0053 Li
0.0000 0.0000 1.7444 Li
0.0000 2.6942 6.5212 Li
2.1886 0.0000 0.0000 Li
0.0000 2.6942 0.0000 Ca
0.0000 0.0000 4.8748 Ca
2.1886 2.6942 4.8748 Zn
2.1886 4.0420 2.4762 Zn
2.1886 1.3464 7.2734 Zn
2.1886 1.3464 2.4762 Zn
2.1886 4.0420 7.2734 Zn
```

# 6
Crystalline Zr3ScCr at its relaxed geometry. Source: Alexandria, functional PBE.

## Properties
As for the density of states at the Fermi level: 2.42 states/eV/atom. The calculation puts the total magnetization at 0.000 μB/f.u. The value obtained for the formation energy is 2.1 eV per formula unit. The calculation puts the electronic total energy at -7.89 eV per atom. Its space group is No. 221. Its energy above the most stable polymorph in this dataset is 0 meV/atom.

The structure in POSCAR format:
```
Zr3ScCr
1.0
4.9027 0.0000 0.0000
0.0000 4.9027 0.0000
0.0000 0.0000 4.9027
Sc Cr Zr
1 1 3
Cartesian
2.4513 2.4513 2.4513 Sc
0.0000 0.0000 0.0000 Cr
0.0000 2.4513 0.0000 Zr
0.0000 0.0000 2.4513 Zr
2.4513 0.0000 0.0000 Zr
```